(1)
Cs5TePdO2: optimized geometry, GGA-PBE.

Summary:
raw formation energy	-8.7	eV per formula unit
V	361.01	Å³/cell
DFT total energy	-0.12728	hartree per atom
theoretical density	4.3	g cm⁻³

Unit cell a=6.0283 b=6.0283 c=9.9340 alpha=90.00 beta=90.00 gamma=90.00
Closest atoms and distances in Å follow each position.
Space group P4/mmm (No. 123)
Inequivalent atoms, fractional coordinates:
Cs  0.0000  0.0000  0.0000 [1 per cell]  2 O 3.00
Cs  0.0000  0.5000  0.2723 [4 per cell]  2 O 3.03
Te  0.5000  0.5000  0.0000 [1 per cell]  12 Cs 4.05-4.26
Pd  0.0000  0.0000  0.5000 [1 per cell]  2 O 1.97
O  0.0000  0.0000  0.3021 [2 per cell]  1 Pd 1.97



(2)
Be2NbO2: optimized geometry, GGA-PBE.

Summary:
raw formation energy	-3.2	eV per formula unit
V	108.34	Å³/cell
DFT total energy	-0.22529	hartree per atom
theoretical density	4.4	g cm⁻³

Unit cell a=6.4678 b=6.4678 c=2.5900 alpha=90.00 beta=90.00 gamma=90.00
Closest atoms and distances in Å follow each position.
Space group P4/mbm (No. 127)
Inequivalent atoms, fractional coordinates:
Be  0.1167  0.3833  0.0000 [4 per cell]  2 O 1.57
Nb  0.0000  0.0000  0.0000 [2 per cell]  2 Nb 2.59, 4 Be 2.59, 8 O 2.65
O  0.2138  0.2862  0.5000 [4 per cell]  2 Be 1.57



(3)
MgAs: optimized geometry, GGA-PBE.

Summary:
ΔE_f	7.9	kJ per mole of atoms
V	259.05	Å³/cell
DFT total energy	-0.11171	hartree per atom
theoretical density	3.8	g cm⁻³

Unit cell a=3.1476 b=3.1476 c=30.1925 alpha=90.00 beta=90.00 gamma=120.00
Closest atoms and distances in Å follow each position.
Space group R-3m (No. 166, hexagonal axes)
Inequivalent atoms, fractional coordinates:
Mg  0.0000  0.0000  0.1218 [6 per cell]  3 As 2.76
As  0.0000  0.0000  0.3863 [6 per cell]  3 Mg 2.76



(4)
CuNi2Br: optimized geometry, GGA-PBE.

Summary:
raw formation energy	1.4	eV per formula unit
V	136.73	Å³/cell
DFT total energy	-0.14661	hartree per atom
theoretical density	6.3	g cm⁻³

Unit cell a=7.8866 b=2.9966 c=6.7111 alpha=90.00 beta=120.45 gamma=90.00
Closest atoms and distances in Å follow each position.
Space group C2/m (No. 12)
Inequivalent atoms, fractional coordinates:
Cu  0.0000  0.0000  0.0000 [2 per cell]  6 Ni 2.40-2.46
Ni  0.1499  0.5000  0.8413 [4 per cell]  3 Cu 2.40-2.46, 2 Ni 2.42, 2 Br 2.48
Br  0.0000  0.0000  0.5000 [2 per cell]  4 Ni 2.48



(5)
La4Nd3ThSe8: optimized geometry, GGA-PBE.

Summary:
raw formation energy	-30.1	eV per formula unit
V	1319.39	Å³/cell
DFT total energy	-0.22834	hartree per atom
theoretical density	7.0	g cm⁻³

Unit cell a=8.5395 b=8.5395 c=20.8939 alpha=90.00 beta=90.00 gamma=120.00
Closest atoms and distances in Å follow each position.
Space group R-3m (No. 166, hexagonal axes)
Inequivalent atoms, fractional coordinates:
La  0.0000  0.0000  0.0000 [3 per cell]  6 Se 3.05
La  0.0000  0.5000  0.0000 [9 per cell]  6 Se 3.04
Nd  0.0000  0.5000  0.5000 [9 per cell]  6 Se 3.00
Th  0.0000  0.0000  0.5000 [3 per cell]  6 Se 2.99
Se  0.0000  0.0000  0.2484 [6 per cell]  3 Nd 3.00, 3 La 3.04
Se  0.0009  0.5005  0.2480 [18 per cell]  1 Th 2.99, 2 Nd 3.00, 3 La 3.04-3.05



(6)
PrSm3DySc: optimized geometry, GGA-PBE.

Summary:
ΔE_f	3.7	kJ per mole of atoms
V	770.13	Å³/cell
DFT total energy	-0.18155	hartree per atom
theoretical density	6.9	g cm⁻³

Unit cell a=5.0178 b=15.1387 c=10.1383 alpha=90.00 beta=90.00 gamma=90.00
Closest atoms and distances in Å follow each position.
Space group Cmcm (No. 63)
Inequivalent atoms, fractional coordinates:
Pr  0.0000  0.0039  0.2500 [4 per cell]  2 Sc 3.53, 6 Sm 3.53-3.63, 4 Dy 3.57
Sm  0.0000  0.1672  0.0011 [8 per cell]  5 Sm 3.53-3.57, 2 Pr 3.53-3.63, 3 Sc 3.56-3.57, 2 Dy 3.56
Sm  0.0000  0.3303  0.2500 [4 per cell]  2 Sc 3.52, 6 Sm 3.53-3.57, 2 Dy 3.61, 2 Pr 3.63
Dy  0.0000  0.5000  0.0000 [4 per cell]  6 Sm 3.56-3.61, 4 Pr 3.57, 2 Sc 3.59
Sc  0.0000  0.3324  0.7500 [4 per cell]  8 Sm 3.52-3.57, 2 Pr 3.53, 2 Dy 3.59



(7)
HgAu5: optimized geometry, GGA-PBE.

Summary:
ΔE_f	11.9	kJ per mole of atoms
V	483.11	Å³/cell
DFT total energy	-0.09770	hartree per atom
theoretical density	16.3	g cm⁻³

Unit cell a=7.8466 b=7.8466 c=7.8466 alpha=90.00 beta=90.00 gamma=90.00
Closest atoms and distances in Å follow each position.
Space group F-43m (No. 216)
Inequivalent atoms, fractional coordinates:
Hg  0.0000  0.0000  0.0000 [4 per cell]  16 Au 3.25-3.40
Au  0.1249  0.1249  0.6249 [16 per cell]  6 Au 2.77-2.78
Au  0.2500  0.2500  0.2500 [4 per cell]  12 Au 3.25, 4 Hg 3.40